This record from the Alexandria database describes a geometry-optimized KAuSe2 structure. The functional is PBE.

a = 6.1263 Å, b = 6.1263 Å, c = 6.1263 Å
α = 143.87°, β = 125.67°, γ = 67.00°
Last column: nearest neighbours and their distance in Å.
Atoms (fractional coordinates):
Se  0.9339  0.9339  0.0000  2 Se 2.68
K  0.2507  0.7507  0.5000  8 Se 3.37-3.75, 4 Au 3.37-3.74
Au  0.5660  0.5660  0.0000  2 Se 2.67
Se  0.7494  0.2494  0.5000  2 Au 2.67, 2 Se 2.68

Output
Its symmetry is No. 44. For the total DFT energy (no corrections), the calculation gives -3.03 eV per atom. For the uncorrected formation energy, the calculation gives -4.4 kcal/mol of atoms. The density of states at the Fermi level comes out at 0.217 states/eV/f.u. The density is 6.03 Mg/m³.

---

This record from the Alexandria database describes a geometry-optimized Sr4NO2 structure. The functional is PBE.

a = 3.7400 Å, b = 6.3721 Å, c = 7.3708 Å
α = 116.20°, β = 104.70°, γ = 90.00°
Last column: nearest neighbours and their distance in Å.
Atoms (fractional coordinates):
Sr  0.8673  0.1827  0.7345  3 O 2.51-2.55, 1 N 2.64
O  0.7333  0.7483  0.4665  6 Sr 2.51-2.81
N  0.0000  0.0000  0.0000  6 Sr 2.64
Sr  0.3740  0.7211  0.7479  2 N 2.64, 3 O 2.67-2.81
Sr  0.6260  0.2789  0.2521  2 N 2.64, 3 O 2.67-2.81
Sr  0.1327  0.8173  0.2655  3 O 2.51-2.55, 1 N 2.64
O  0.2667  0.2517  0.5335  6 Sr 2.51-2.81

Output
Its symmetry is No. 12. For the total DFT energy (no corrections), the calculation gives -5.21 eV per atom. For the uncorrected formation energy, the calculation gives -37.9 kcal/mol of atoms. The density of states at the Fermi level comes out at 1.321 states/eV/f.u. The density is 4.36 Mg/m³.

---

This record from the Alexandria database describes a geometry-optimized Tb5ZrIn6 structure. The functional is PBE.

a = 5.5417 Å, b = 6.9155 Å, c = 8.8465 Å
α = 66.99°, β = 84.39°, γ = 90.00°
Last column: nearest neighbours and their distance in Å.
Atoms (fractional coordinates):
Tb  0.3185  0.8318  0.3363  8 In 3.23-3.32, 1 Zr 3.41, 3 Tb 3.46-3.49
Tb  0.6759  0.6676  0.6648  8 In 3.28-3.33, 4 Tb 3.42-3.49
In  0.8235  0.0825  0.3225  1 Zr 3.19, 7 Tb 3.23-3.32, 3 In 3.33-3.54
In  0.8235  0.5949  0.3226  1 Zr 3.19, 7 Tb 3.23-3.32, 3 In 3.33-3.54
In  0.1765  0.4051  0.6774  1 Zr 3.19, 7 Tb 3.23-3.32, 3 In 3.33-3.54
Tb  0.3241  0.3324  0.3352  8 In 3.28-3.33, 4 Tb 3.42-3.49
Tb  0.6815  0.1682  0.6637  8 In 3.23-3.32, 1 Zr 3.41, 3 Tb 3.46-3.49
In  0.5000  0.2393  0.0000  2 Zr 3.23, 6 Tb 3.27-3.33, 4 In 3.31-3.61
Tb  0.0000  0.5000  0.0000  8 In 3.23-3.31, 2 Tb 3.42, 2 Zr 3.46
In  0.1765  0.9175  0.6775  1 Zr 3.19, 7 Tb 3.23-3.32, 3 In 3.33-3.54
Zr  0.0000  0.0000  0.0000  8 In 3.19-3.23, 4 Tb 3.41-3.46
In  0.5000  0.7607  0.0000  2 Zr 3.23, 6 Tb 3.27-3.33, 4 In 3.31-3.61

Output
Its symmetry is No. 12. For the total DFT energy (no corrections), the calculation gives -4.44 eV per atom. The energy of formation from the pure elements comes out at -0.425 eV per atom. The density of states at the Fermi level comes out at 9.071 states/eV/f.u. The density is 8.43 Mg/m³.

---

This record from the Alexandria database describes a geometry-optimized Pm2Cu3Au9 structure. The functional is PBE.

a = 7.9198 Å, b = 7.9198 Å, c = 10.8744 Å
α = 89.46°, β = 111.92°, γ = 120.03°
Last column: nearest neighbours and their distance in Å.
Atoms (fractional coordinates):
Cu  0.5000  0.5000  0.5000  8 Au 2.63-2.74
Au  0.2206  0.5317  0.5718  3 Cu 2.66-2.72, 3 Au 2.90-2.94
Pm  0.3333  0.2505  0.7495  11 Au 3.12-3.21, 1 Cu 3.49
Au  0.6705  0.6965  0.7509  2 Cu 2.63-2.65, 4 Au 2.89-2.91
Au  0.1103  0.8603  0.2500  2 Cu 2.65, 4 Au 2.89-2.93
Au  0.2113  0.6951  0.0677  3 Cu 2.66-2.70, 3 Au 2.91-2.93
Au  0.5483  0.1890  0.5709  3 Cu 2.74-2.86, 5 Au 2.89-2.97
Au  0.8726  0.8564  0.5677  3 Cu 2.66-2.70, 3 Au 2.91-2.93
Au  0.7887  0.3049  0.9323  3 Cu 2.66-2.70, 3 Au 2.91-2.93
Au  0.5544  0.0804  0.2509  2 Cu 2.63-2.65, 4 Au 2.89-2.91
Pm  0.0010  0.5838  0.7505  11 Au 3.12-3.21, 1 Cu 3.49
Cu  0.8228  0.6456  0.0009  8 Au 2.65-2.86
Pm  0.9990  0.4162  0.2495  11 Au 3.12-3.21, 1 Cu 3.49
Au  0.8897  0.1397  0.7500  2 Cu 2.65, 4 Au 2.89-2.93
Cu  0.1447  0.8219  0.4991  8 Au 2.65-2.86
Au  0.5401  0.3512  0.0718  3 Cu 2.66-2.72, 3 Au 2.90-2.94
Au  0.3295  0.3035  0.2491  2 Cu 2.63-2.65, 4 Au 2.89-2.91
Cu  0.5000  0.0000  0.0000  8 Au 2.63-2.74
Pm  0.6667  0.7495  0.2505  11 Au 3.12-3.21, 1 Cu 3.49
Au  0.8818  0.0226  0.0709  3 Cu 2.74-2.86, 5 Au 2.89-2.97
Au  0.4517  0.8110  0.4291  3 Cu 2.74-2.86, 5 Au 2.89-2.97
Cu  0.1772  0.3544  0.9991  8 Au 2.65-2.86
Au  0.1274  0.1436  0.4323  3 Cu 2.66-2.70, 3 Au 2.91-2.93
Cu  0.8553  0.1781  0.5009  8 Au 2.65-2.86
Au  0.1182  0.9774  0.9291  3 Cu 2.74-2.86, 5 Au 2.89-2.97
Au  0.4599  0.6488  0.9282  3 Cu 2.66-2.72, 3 Au 2.90-2.94
Au  0.7794  0.4683  0.4282  3 Cu 2.66-2.72, 3 Au 2.90-2.94
Au  0.4456  0.9196  0.7491  2 Cu 2.63-2.65, 4 Au 2.89-2.91

Output
Its symmetry is No. 15. For the total DFT energy (no corrections), the calculation gives -4.06 eV per atom. The energy of formation from the pure elements comes out at -0.398 eV per atom. The density of states at the Fermi level comes out at 3.976 states/eV/f.u. The density is 14.01 Mg/m³.

---

This record from the Alexandria database describes a geometry-optimized GaNi7Sn2Sb2 structure. The functional is PBE.

a = 3.6838 Å, b = 3.6838 Å, c = 14.4647 Å
α = 86.00°, β = 86.00°, γ = 90.64°
Last column: nearest neighbours and their distance in Å.
Atoms (fractional coordinates):
Ni  0.0344  0.5336  0.8820  6 Ni 2.50-2.62, 2 Ga 2.50-2.51, 2 Sn 2.58-2.59
Ga  0.0000  0.0000  0.0000  12 Ni 2.50-2.62
Ni  0.3636  0.3636  0.4239  5 Sb 2.56-2.64, 1 Sn 2.59, 1 Ni 2.73
Sb  0.8612  0.8612  0.4067  5 Ni 2.56-2.64
Ni  0.9656  0.4664  0.1180  6 Ni 2.50-2.62, 2 Ga 2.50-2.51, 2 Sn 2.58-2.59
Sn  0.4291  0.4291  0.2439  5 Ni 2.58-2.59
Ni  0.4664  0.9656  0.1180  6 Ni 2.50-2.62, 2 Ga 2.50-2.51, 2 Sn 2.58-2.59
Ni  0.5336  0.0344  0.8820  6 Ni 2.50-2.62, 2 Ga 2.50-2.51, 2 Sn 2.58-2.59
Sb  0.1388  0.1388  0.5933  5 Ni 2.56-2.64
Ni  0.5000  0.5000  0.0000  8 Ni 2.50-2.51, 4 Ga 2.59-2.62
Ni  0.6364  0.6364  0.5761  5 Sb 2.56-2.64, 1 Sn 2.59, 1 Ni 2.73
Sn  0.5709  0.5709  0.7561  5 Ni 2.58-2.59

Output
Its symmetry is No. 12. For the total DFT energy (no corrections), the calculation gives -5.09 eV per atom. For the uncorrected formation energy, the calculation gives -2.5 kcal/mol of atoms. The density of states at the Fermi level comes out at 10.675 states/eV/f.u. The density is 8.18 Mg/m³.

---

This record from the Alexandria database describes a geometry-optimized LiSn2AuSe4 structure. The functional is PBE.

a = 6.5734 Å, b = 6.5734 Å, c = 6.8628 Å
α = 112.51°, β = 112.51°, γ = 101.58°
Last column: nearest neighbours and their distance in Å.
Atoms (fractional coordinates):
Au  0.9165  0.9165  0.8330  2 Se 2.44
Sn  0.2749  0.7749  0.5497  4 Se 2.69-2.78
Se  0.1594  0.1594  0.7442  1 Au 2.44, 1 Li 2.66
Se  0.8600  0.3764  0.2364  1 Li 2.56, 2 Sn 2.69
Li  0.5535  0.5535  0.1069  4 Se 2.56-2.66
Sn  0.7749  0.2749  0.5497  4 Se 2.69-2.78
Se  0.3764  0.8600  0.2364  1 Li 2.56, 2 Sn 2.69
Se  0.5848  0.5848  0.7442  1 Au 2.44, 1 Li 2.66

Output
Its symmetry is No. 42. For the total DFT energy (no corrections), the calculation gives -3.82 eV per atom. For the uncorrected formation energy, the calculation gives -9.9 kcal/mol of atoms. The density of states at the Fermi level comes out at 0.641 states/eV/f.u. The density is 5.44 Mg/m³.

---

This record from the Alexandria database describes a geometry-optimized PtS2Cl5 structure. The functional is PBE.

a = 5.2633 Å, b = 7.6092 Å, c = 7.5920 Å
α = 109.04°, β = 69.72°, γ = 69.78°
Last column: nearest neighbours and their distance in Å.
Atoms (fractional coordinates):
Cl  0.1602  0.6342  0.8993  1 Pt 2.33
Cl  0.1616  0.8979  0.6329  1 Pt 2.33
S  0.9093  0.4996  0.4996  1 S 1.83
Cl  0.6923  0.1022  0.3672  1 Pt 2.33
Cl  0.6937  0.3659  0.1008  1 Pt 2.33
S  0.2567  0.5001  0.5001  1 S 1.83
Pt  0.9251  0.0001  0.0001  4 Cl 2.33
Cl  0.4240  0.0001  0.0001  2 Pt 2.63-2.64

Output
Its symmetry is No. 5. For the total DFT energy (no corrections), the calculation gives -3.12 eV per atom. For the uncorrected formation energy, the calculation gives -4.1 kcal/mol of atoms. The density of states at the Fermi level comes out at 0.148 states/eV/f.u. The density is 3.14 Mg/m³.

---

This record from the Alexandria database describes a geometry-optimized LiIrCl2 structure. The functional is PBE.

a = 3.2573 Å, b = 3.2573 Å, c = 7.2707 Å
α = 90.00°, β = 90.00°, γ = 90.04°
Last column: nearest neighbours and their distance in Å.
Atoms (fractional coordinates):
Ir  0.0000  0.0000  0.5243  5 Cl 2.46-2.66
Li  0.5000  0.5000  0.7714  4 Cl 2.40
Cl  0.0000  0.0000  0.8628  4 Li 2.40, 1 Ir 2.46
Cl  0.5000  0.5000  0.3415  4 Ir 2.66

Output
Its symmetry is No. 99. For the total DFT energy (no corrections), the calculation gives -3.76 eV per atom. For the uncorrected formation energy, the calculation gives -3.2 kcal/mol of atoms. The density of states at the Fermi level comes out at 0.651 states/eV/f.u. The density is 5.81 Mg/m³.

---

This record from the Alexandria database describes a geometry-optimized YScCrTc2 structure. The functional is PBE.

a = 4.7070 Å, b = 4.7070 Å, c = 4.7866 Å
α = 90.00°, β = 90.00°, γ = 90.00°
Last column: nearest neighbours and their distance in Å.
Atoms (fractional coordinates):
Cr  0.0000  0.0000  0.5000  2 Sc 2.39
Sc  0.0000  0.0000  0.0000  4 Tc 2.35, 2 Cr 2.39
Tc  0.5000  0.0000  0.0000  2 Sc 2.35
Y  0.5000  0.5000  0.5000  4 Cr 3.33, 8 Tc 3.36
Tc  0.0000  0.5000  0.0000  2 Sc 2.35

Output
Its symmetry is No. 123. For the total DFT energy (no corrections), the calculation gives -7.51 eV per atom. The energy of formation from the pure elements comes out at 1.116 eV per atom. The density of states at the Fermi level comes out at 7.674 states/eV/f.u. The density is 5.98 Mg/m³.

---

This record from the Alexandria database describes a geometry-optimized SmMgSc2 structure. The functional is PBE.

a = 4.7888 Å, b = 4.6923 Å, c = 4.6923 Å
α = 90.00°, β = 90.00°, γ = 90.00°
Last column: nearest neighbours and their distance in Å.
Atoms (fractional coordinates):
Sc  0.0000  0.5000  0.0000  4 Sc 3.32, 4 Mg 3.35, 4 Sm 3.35
Sm  0.5000  0.5000  0.5000  4 Mg 3.32, 8 Sc 3.35
Sc  0.0000  0.0000  0.5000  4 Sc 3.32, 4 Mg 3.35, 4 Sm 3.35
Mg  0.5000  0.0000  0.0000  4 Sm 3.32, 8 Sc 3.35

Output
Its symmetry is No. 123. For the total DFT energy (no corrections), the calculation gives -4.69 eV per atom. The energy of formation from the pure elements comes out at 0.049 eV per atom. The density of states at the Fermi level comes out at 7.252 states/eV/f.u. The density is 4.17 Mg/m³.

---

This record from the Alexandria database describes a geometry-optimized Rb2Be2I structure. The functional is PBE.

a = 3.7781 Å, b = 3.7781 Å, c = 11.4159 Å
α = 80.48°, β = 80.48°, γ = 90.00°
Last column: nearest neighbours and their distance in Å.
Atoms (fractional coordinates):
Rb  0.6102  0.6102  0.7796  4 I 3.62, 4 Be 3.63, 4 Rb 3.78
I  0.0000  0.0000  0.0000  8 Rb 3.62, 4 I 3.78
Rb  0.3898  0.3898  0.2204  4 I 3.62, 4 Be 3.63, 4 Rb 3.78
Be  0.7500  0.2500  0.5000  4 Be 2.67
Be  0.2500  0.7500  0.5000  4 Be 2.67

Output
Its symmetry is No. 139. For the total DFT energy (no corrections), the calculation gives -1.94 eV per atom. For the uncorrected formation energy, the calculation gives 5.6 kcal/mol of atoms. The density of states at the Fermi level comes out at 1.698 states/eV/f.u. The density is 3.31 Mg/m³.

---

This record from the Alexandria database describes a geometry-optimized Ac3Tb4Nd8 structure. The functional is PBE.

a = 7.0278 Å, b = 9.6388 Å, c = 9.6388 Å
α = 81.89°, β = 112.54°, γ = 112.54°
Last column: nearest neighbours and their distance in Å.
Atoms (fractional coordinates):
Nd  0.0000  0.2903  0.7097  4 Nd 3.57-3.65, 2 Ac 3.59, 3 Tb 3.67-3.68
Ac  0.5000  0.0000  0.5000  2 Tb 3.51, 8 Nd 3.59-3.85
Nd  0.7788  0.3005  0.3005  3 Nd 3.35-3.65, 2 Ac 3.59
Tb  0.0000  0.0000  0.5000  8 Nd 3.43-3.75, 2 Ac 3.51
Nd  0.5000  0.7592  0.2408  1 Tb 3.04, 1 Ac 3.27
Nd  0.5000  0.2408  0.7592  1 Tb 3.04, 1 Ac 3.27
Nd  0.2212  0.6995  0.6995  3 Nd 3.35-3.65, 2 Ac 3.59
Nd  0.8251  0.7631  0.7631  1 Tb 3.02, 1 Ac 3.32, 1 Nd 3.35
Ac  0.5000  0.5000  0.5000  4 Nd 3.27-3.32
Tb  0.0000  0.5000  0.0000  8 Nd 3.43-3.75, 2 Ac 3.51
Ac  0.5000  0.5000  0.0000  2 Tb 3.51, 8 Nd 3.59-3.85
Tb  0.5000  0.0000  0.0000  2 Nd 3.04
Nd  0.0000  0.7097  0.2903  4 Nd 3.57-3.65, 2 Ac 3.59, 3 Tb 3.67-3.68
Tb  0.0000  0.0000  0.0000  2 Nd 3.02
Nd  0.1749  0.2369  0.2369  1 Tb 3.02, 1 Ac 3.32, 1 Nd 3.35

Output
Its symmetry is No. 12. For the total DFT energy (no corrections), the calculation gives -4.25 eV per atom. The energy of formation from the pure elements comes out at 0.348 eV per atom. The density of states at the Fermi level comes out at 25.110 states/eV/f.u. The density is 7.37 Mg/m³.